KMgTlRu2: relaxed, PBE-GGA.

Unit cell a=5.126 b=5.718 c=5.126 alpha=90.00 beta=90.00 gamma=90.00
Each line ends with the local moment (μB).
Positions (direct):
Mg: 0.500 0.500 0.500  -0.01
Ru: 0.000 0.000 0.500  1.36
Ru: 0.500 0.000 0.000  1.15
Tl: 0.000 0.000 0.000  -0.04
K: 0.000 0.500 0.000  -0.01

Values from the calculation:
Its symmetry is P4/mmm (123). The energy is -0.2339 Ry per atom. As for the crystal system: tetragonal.

=====

KMgTl2Ru: relaxed, PBE-GGA.

Unit cell a=5.338 b=5.338 c=5.130 alpha=90.00 beta=90.00 gamma=90.00
Positions (direct):
Mg: 0.000 0.000 0.500
Ru: 0.000 0.000 0.000
Tl: 0.000 0.500 0.000
Tl: 0.500 0.000 0.000
K: 0.500 0.500 0.500

Values from the calculation:
Its symmetry is P4/mmm (123). The energy is -0.2428 Ry per atom. As for the crystal system: tetragonal.

=====

KMgZrRu2: relaxed, PBE-GGA.

Unit cell a=4.782 b=4.618 c=4.782 alpha=90.00 beta=90.00 gamma=90.00
Positions (direct):
Ru: 0.000 0.000 0.500
Ru: 0.500 0.000 0.000
K: 0.000 0.500 0.000
Mg: 0.000 0.000 0.000
Zr: 0.500 0.500 0.500

Values from the calculation:
Its symmetry is P4/mmm (123). The energy is -0.3313 Ry per atom. As for the crystal system: tetragonal.

=====

Table of magnetic moment (μB per formula unit), in record order: 2.5; 0.0; 0.0
Table of D(E_F) (states/eV/f.u.), in record order: 5.1; 1.3; 5.2
Table of calculated formation energy (eV/atom), in record order: 1.540; 0.037; 1.451